VASP calculation (PBE) on crystalline PmGaPt at its relaxed geometry.

Computed properties:
Magnetization ... 0.01 Bohr magnetons per cell
Space-group type ... F-43m
Energy above the lowest structure with this stoichiometry ... 518 meV/atom

a b c (Å): 4.580 4.580 4.580
angles (deg): 60.00 60.00 60.00
Element x y z (fractional)
1 Ga 0.000 0.000 0.000
2 Pm 0.250 0.250 0.250
3 Pt 0.750 0.750 0.750

VASP calculation (PBE) on crystalline RbPmGa at its relaxed geometry.

Computed properties:
Calculated total energy ... -2.35 eV per atom
Magnetization ... 0.09 Bohr magnetons per cell
Space-group type ... F-43m

a b c (Å): 5.330 5.330 5.330
angles (deg): 60.00 60.00 60.00
Element x y z (fractional)
1 Ga 0.250 0.250 0.250
2 Pm 0.000 0.000 0.000
3 Rb 0.750 0.750 0.750

Question: Among the records above, which one has the lowest magnetization?
Answer: PmGaPt

Repeat the second record exactly.
VASP calculation (PBE) on crystalline RbPmGa at its relaxed geometry.

Computed properties:
Calculated total energy ... -2.35 eV per atom
Magnetization ... 0.09 Bohr magnetons per cell
Space-group type ... F-43m

a b c (Å): 5.330 5.330 5.330
angles (deg): 60.00 60.00 60.00
Element x y z (fractional)
1 Ga 0.250 0.250 0.250
2 Pm 0.000 0.000 0.000
3 Rb 0.750 0.750 0.750

Question: What is the magnetization in the first record?
Answer: 0.01 Bohr magnetons per cell